No. 1
Ac3H3Pb: optimized geometry, PBE.

Computed properties:
* total magnetic moment: 0.8 μB/f.u.
* crystal system: hexagonal
* calculated total energy: -4.175 eV/atom
* V: 343.8 Å³/cell

CIF file:
```
data_Ac3H3Pb
_symmetry_space_group_name_H-M 'P 63/m'
_symmetry_Int_Tables_number 176
_symmetry_space_group_name_Hall '-P 6c'
_cell_length_a 9.1355
_cell_length_b 9.1355
_cell_length_c 4.7574
_cell_angle_alpha 90.00
_cell_angle_beta 90.00
_cell_angle_gamma 120.00
loop_
_atom_site_label
_atom_site_type_symbol
_atom_site_fract_x
_atom_site_fract_y
_atom_site_fract_z
Ac1 Ac 0.0730 0.7173 0.2500
H1 H 0.0449 0.8105 0.7500
Pb1 Pb 0.3333 0.6667 0.7500
```


No. 2
Ac4HPb3: optimized geometry, PBE.

Computed properties:
* total magnetic moment: 0.0 μB/f.u.
* crystal system: orthorhombic
* calculated total energy: -4.216 eV/atom
* V: 621.7 Å³/cell

CIF file:
```
data_Ac4HPb3
_symmetry_space_group_name_H-M 'P m n 21'
_symmetry_Int_Tables_number 31
_cell_length_a 13.4833
_cell_length_b 6.8024
_cell_length_c 6.7787
_cell_angle_alpha 90.00
_cell_angle_beta 90.00
_cell_angle_gamma 90.00
loop_
_symmetry_equiv_pos_as_xyz
'x,y,z'
'-x+1/2,-y,z+1/2'
'-x,y,z'
'x+1/2,-y,z+1/2'
loop_
_atom_site_label
_atom_site_type_symbol
_atom_site_fract_x
_atom_site_fract_y
_atom_site_fract_z
Ac1 Ac 0.0000 0.1985 0.0000
Ac2 Ac 0.0000 0.7646 0.5557
Ac3 Ac 0.2495 0.2615 0.5011
H1 H 0.0000 0.8364 0.9199
Pb1 Pb 0.0000 0.2695 0.4969
Pb2 Pb 0.2503 0.2369 0.9969
```


No. 3
Ac4HPb2: optimized geometry, PBE.

Computed properties:
* E above lowest polymorph: 0.0000 eV/atom
* total magnetic moment: 0.0 μB/f.u.
* crystal system: monoclinic
* calculated total energy: -4.318 eV/atom
* V: 487.1 Å³/cell

CIF file:
```
data_Ac4HPb2
_symmetry_space_group_name_H-M 'P 1 21/m 1'
_symmetry_Int_Tables_number 11
_cell_length_a 7.0134
_cell_length_b 7.3032
_cell_length_c 10.0860
_cell_angle_alpha 90.00
_cell_angle_beta 109.47
_cell_angle_gamma 90.00
loop_
_symmetry_equiv_pos_as_xyz
'x,y,z'
'-x,-y,-z'
'-x,y+1/2,-z'
'x,-y+1/2,z'
loop_
_atom_site_label
_atom_site_type_symbol
_atom_site_fract_x
_atom_site_fract_y
_atom_site_fract_z
Ac1 Ac 0.0289 0.0009 0.2829
Ac2 Ac 0.3814 0.7500 0.0668
Ac3 Ac 0.4281 0.7500 0.6408
H1 H 0.2248 0.7500 0.8050
Pb1 Pb 0.1919 0.2500 0.0367
Pb2 Pb 0.3138 0.2500 0.5911
```


No. 4
Ac2H3Pb: optimized geometry, PBE.

Computed properties:
* total magnetic moment: 0.0 μB/f.u.
* crystal system: monoclinic
* calculated total energy: -4.195 eV/atom
* V: 520.5 Å³/cell

CIF file:
```
data_Ac2H3Pb
_symmetry_space_group_name_H-M 'C 1 2/m 1'
_symmetry_Int_Tables_number 12
_cell_length_a 16.2432
_cell_length_b 4.1956
_cell_length_c 8.2876
_cell_angle_alpha 90.00
_cell_angle_beta 112.84
_cell_angle_gamma 90.00
loop_
_symmetry_equiv_pos_as_xyz
'x,y,z'
'-x,-y,-z'
'-x,y,-z'
'x,-y,z'
'x+1/2,y+1/2,z'
'-x+1/2,-y+1/2,-z'
'-x+1/2,y+1/2,-z'
'x+1/2,-y+1/2,z'
loop_
_atom_site_label
_atom_site_type_symbol
_atom_site_fract_x
_atom_site_fract_y
_atom_site_fract_z
Ac1 Ac 0.0304 0.0000 0.2801
Ac2 Ac 0.2037 0.5000 0.6848
H1 H 0.0689 0.5000 0.4288
H2 H 0.0977 0.0000 0.6204
H3 H 0.1955 0.0000 0.4846
Pb1 Pb 0.1250 0.5000 0.0330
```


No. 5
Ac6HPb2: optimized geometry, PBE.

Computed properties:
* total magnetic moment: 0.0 μB/f.u.
* crystal system: monoclinic
* calculated total energy: -4.238 eV/atom
* V: 664.7 Å³/cell

CIF file:
```
data_Ac6HPb2
_symmetry_space_group_name_H-M 'P 1 21/c 1'
_symmetry_Int_Tables_number 14
_cell_length_a 7.1935
_cell_length_b 8.5789
_cell_length_c 12.9508
_cell_angle_alpha 90.00
_cell_angle_beta 123.72
_cell_angle_gamma 90.00
loop_
_symmetry_equiv_pos_as_xyz
'x,y,z'
'-x,-y,-z'
'-x,y+1/2,-z+1/2'
'x,-y+1/2,z+1/2'
loop_
_atom_site_label
_atom_site_type_symbol
_atom_site_fract_x
_atom_site_fract_y
_atom_site_fract_z
Ac1 Ac 0.0643 0.1924 0.4513
Ac2 Ac 0.3385 0.7010 0.4510
Ac3 Ac 0.3908 0.0284 0.2526
H1 H 0.5000 0.0000 0.5000
Pb1 Pb 0.1586 0.1164 0.7519
```


No. 6
Ac4HPb2: optimized geometry, PBE.

Computed properties:
* E above lowest polymorph: 0.0114 eV/atom
* total magnetic moment: 0.0 μB/f.u.
* crystal system: tetragonal
* calculated total energy: -4.306 eV/atom
* V: 479.9 Å³/cell

CIF file:
```
data_Ac4HPb2
_symmetry_space_group_name_H-M 'I 4/m m m'
_symmetry_Int_Tables_number 139
_symmetry_space_group_name_Hall '-I 4 2'
_cell_length_a 5.0816
_cell_length_b 5.0816
_cell_length_c 18.5856
_cell_angle_alpha 90.00
_cell_angle_beta 90.00
_cell_angle_gamma 90.00
loop_
_atom_site_label
_atom_site_type_symbol
_atom_site_fract_x
_atom_site_fract_y
_atom_site_fract_z
Ac1 Ac 0.0000 0.0000 0.1794
Ac2 Ac 0.0000 0.5000 0.0000
H1 H 0.0000 0.0000 0.0000
Pb1 Pb 0.0000 0.0000 0.3633
```


What did the fourth record say?
Ac2H3Pb: optimized geometry, PBE.

Computed properties:
* total magnetic moment: 0.0 μB/f.u.
* crystal system: monoclinic
* calculated total energy: -4.195 eV/atom
* V: 520.5 Å³/cell

CIF file:
```
data_Ac2H3Pb
_symmetry_space_group_name_H-M 'C 1 2/m 1'
_symmetry_Int_Tables_number 12
_cell_length_a 16.2432
_cell_length_b 4.1956
_cell_length_c 8.2876
_cell_angle_alpha 90.00
_cell_angle_beta 112.84
_cell_angle_gamma 90.00
loop_
_symmetry_equiv_pos_as_xyz
'x,y,z'
'-x,-y,-z'
'-x,y,-z'
'x,-y,z'
'x+1/2,y+1/2,z'
'-x+1/2,-y+1/2,-z'
'-x+1/2,y+1/2,-z'
'x+1/2,-y+1/2,z'
loop_
_atom_site_label
_atom_site_type_symbol
_atom_site_fract_x
_atom_site_fract_y
_atom_site_fract_z
Ac1 Ac 0.0304 0.0000 0.2801
Ac2 Ac 0.2037 0.5000 0.6848
H1 H 0.0689 0.5000 0.4288
H2 H 0.0977 0.0000 0.6204
H3 H 0.1955 0.0000 0.4846
Pb1 Pb 0.1250 0.5000 0.0330
```